Computed, not measured: a relaxed structure of BaCaTbFeO6 at the GGA+U level of DFT.

Structure (POSCAR):
```
BaCaTbFeO6
1.0
-2.009 -5.387 0.754
-5.322 -1.393 -1.835
-0.666 -3.512 -4.566
Fe O Tb Ba Ca
1 6 1 1 1
direct
0.000 0.000 0.000
0.769 0.231 0.231
0.769 0.769 0.231
0.231 0.769 0.231
0.769 0.231 0.769
0.231 0.769 0.769
0.231 0.231 0.769
0.500 0.500 0.500
0.250 0.250 0.250
0.750 0.750 0.750
```

Computed properties:
Total moment: 3.02 μB/f.u.
Crystal system: cubic
VASP energy: -6.651 eV/atom
SG: F-43m, No. 216

---

Computed, not measured: a relaxed structure of Ba2Ca2Tl2Fe3O10 at the GGA+U level of DFT.

Structure (POSCAR):
```
Ba2Ca2Tl2Fe3O10
1.0
3.958 0.000 -0.008
0.000 3.986 -0.004
-1.941 -1.976 18.344
O Ca Fe Tl Ba
10 2 3 2 2
direct
0.338 0.386 0.679
0.412 0.972 0.827
0.586 0.147 0.174
0.912 0.473 0.828
0.086 0.648 0.173
0.660 0.709 0.322
0.499 0.060 0.000
0.999 0.560 0.000
0.775 0.720 0.553
0.223 0.169 0.448
0.045 0.106 0.092
0.953 0.014 0.909
0.588 0.649 0.177
0.499 0.560 0.000
0.410 0.470 0.824
0.719 0.836 0.438
0.280 0.397 0.562
0.854 0.915 0.711
0.145 0.206 0.290
```

Computed properties:
Total moment: 11.42 μB/f.u.
Crystal system: triclinic
VASP energy: -5.947 eV/atom
SG: P1, No. 1

---

Computed, not measured: a relaxed structure of BaCaFeWO6 at the GGA+U level of DFT.

Structure (POSCAR):
```
BaCaFeWO6
1.0
0.000 4.036 4.036
4.036 0.000 4.036
4.036 4.036 0.000
O Ba Ca W Fe
6 1 1 1 1
direct
0.745 0.745 0.255
0.255 0.745 0.745
0.255 0.255 0.745
0.745 0.255 0.745
0.255 0.745 0.255
0.745 0.255 0.255
0.250 0.250 0.250
0.750 0.750 0.750
0.500 0.500 0.500
0.000 0.000 0.000
```

Computed properties:
Total moment: 4.00 μB/f.u.
Crystal system: cubic
VASP energy: -6.922 eV/atom
SG: F-43m, No. 216

---

Computed, not measured: a relaxed structure of Ba2CaY2Fe4O10 at the GGA+U level of DFT.

Structure (POSCAR):
```
Ba2CaY2Fe4O10
1.0
-1.342 3.436 -1.124
-3.412 1.031 7.223
8.633 4.495 3.436
Fe O Ba Y Ca
4 10 2 2 1
direct
0.500 0.500 0.678
0.500 0.000 0.388
0.500 0.000 0.680
0.500 0.500 0.315
0.500 0.754 0.350
0.000 0.500 0.362
0.500 0.000 0.054
0.500 0.246 0.350
0.000 0.000 0.420
0.500 0.500 0.889
0.500 0.243 0.631
0.000 0.000 0.741
0.000 0.500 0.640
0.500 0.757 0.631
0.000 0.264 0.881
0.000 0.736 0.881
0.000 0.277 0.495
0.000 0.723 0.495
0.000 0.000 0.169
```

Computed properties:
Total moment: 16.00 μB/f.u.
Crystal system: orthorhombic
Offset from the most stable computed form: 0.031 eV/atom
SG: Pmm2, No. 25

---

Computed, not measured: a relaxed structure of Ba2CaY2Fe4O10 at the GGA+U level of DFT.

Structure (POSCAR):
```
Ba2CaY2Fe4O10
1.0
-0.263 -3.543 -1.186
8.146 -0.927 0.962
-2.717 -2.824 9.040
Y O Fe Ba Ca
2 10 4 2 1
direct
0.000 0.481 0.474
0.000 0.002 0.460
0.500 0.983 0.308
0.500 0.994 0.622
0.000 0.832 0.824
0.500 0.455 0.348
0.500 0.269 0.869
0.000 0.210 0.317
0.500 0.692 0.086
0.000 0.256 0.602
0.000 0.730 0.396
0.500 0.548 0.652
0.500 0.691 0.287
0.500 0.786 0.716
0.500 0.299 0.670
0.500 0.221 0.303
0.000 0.526 0.921
0.000 0.926 0.101
0.000 0.098 0.788
```

Computed properties:
Total moment: 14.00 μB/f.u.
Crystal system: monoclinic
Offset from the most stable computed form: 0.000 eV/atom
SG: Pm, No. 6